No. 1
A relaxed KDyPt4 crystal. Source: the Alexandria database, functional PBE.

Results
total moment: 0.000 μB per formula unit
ΔE_f: -0.66 eV per atom

Cell and atoms, written as CIF:
```
data_KDyPt4
_chemical_formula_sum 'K1 Dy1 Pt4'
_space_group_name_H-M_alt 'P 1'
_space_group_IT_number 1
_space_group_name_Hall 'P 1'
_cell_length_a 5.4728
_cell_length_b 5.4728
_cell_length_c 5.4728
_cell_angle_alpha 60.00
_cell_angle_beta 60.00
_cell_angle_gamma 60.00
loop_
_atom_site_label
_atom_site_type_symbol
_atom_site_fract_x
_atom_site_fract_y
_atom_site_fract_z
K1 K 0.0000 0.0000 0.0000
Dy1 Dy 0.2500 0.2500 0.2500
Pt1 Pt 0.1252 0.6249 0.6249
Pt2 Pt 0.6249 0.1252 0.6249
Pt3 Pt 0.6249 0.6249 0.1252
Pt4 Pt 0.6249 0.6249 0.6249
```

=====

No. 2
A relaxed Cd2NiCl crystal. Source: the Alexandria database, functional PBE.

Results
formation energy without anion corrections: -0.109 eV/atom
total moment: 0.000 μB per formula unit
relative energy among the computed polymorphs: 73 meV/atom

Cell and atoms, written as CIF:
```
data_Cd2NiCl
_chemical_formula_sum 'Cd2 Ni1 Cl1'
_space_group_name_H-M_alt 'P 1'
_space_group_IT_number 1
_space_group_name_Hall 'P 1'
_cell_length_a 3.3569
_cell_length_b 3.3569
_cell_length_c 8.0717
_cell_angle_alpha 90.35
_cell_angle_beta 90.35
_cell_angle_gamma 60.36
loop_
_atom_site_label
_atom_site_type_symbol
_atom_site_fract_x
_atom_site_fract_y
_atom_site_fract_z
Cd1 Cd 0.1632 0.1632 0.2748
Cd2 Cd 0.8368 0.8368 0.7252
Ni1 Ni 0.5000 0.5000 0.5000
Cl1 Cl 0.5000 0.5000 0.0000
```

=====

No. 3
A relaxed CsTl2In4 crystal. Source: the Alexandria database, functional PBE.

Results
total moment: 0.000 μB per formula unit
ΔE_f: 0.02 eV per atom
relative energy among the computed polymorphs: 86 meV/atom

Cell and atoms, written as CIF:
```
data_CsTl2In4
_chemical_formula_sum 'Cs1 Tl2 In4'
_space_group_name_H-M_alt 'P 1'
_space_group_IT_number 1
_space_group_name_Hall 'P 1'
_cell_length_a 10.2201
_cell_length_b 10.2201
_cell_length_c 5.0293
_cell_angle_alpha 104.20
_cell_angle_beta 104.20
_cell_angle_gamma 139.29
loop_
_atom_site_label
_atom_site_type_symbol
_atom_site_fract_x
_atom_site_fract_y
_atom_site_fract_z
Cs1 Cs 0.0000 0.0000 0.0000
Tl1 Tl 0.3193 0.6807 0.5000
Tl2 Tl 0.6807 0.3193 0.5000
In1 In 0.1657 0.8343 0.5000
In2 In 0.4196 0.5804 0.0000
In3 In 0.5804 0.4196 0.0000
In4 In 0.8343 0.1657 0.5000
```

=====

No. 4
A relaxed RbCdTePPd crystal. Source: the Alexandria database, functional PBE.

Results
formation energy without anion corrections: -0.368 eV/atom
total moment: 0.000 μB per formula unit
relative energy among the computed polymorphs: 37 meV/atom

Cell and atoms, written as CIF:
```
data_RbCdTePPd
_chemical_formula_sum 'Rb1 Cd1 Te1 P1 Pd1'
_space_group_name_H-M_alt 'P 1'
_space_group_IT_number 1
_space_group_name_Hall 'P 1'
_cell_length_a 4.5002
_cell_length_b 4.7981
_cell_length_c 7.2767
_cell_angle_alpha 103.06
_cell_angle_beta 105.34
_cell_angle_gamma 90.87
loop_
_atom_site_label
_atom_site_type_symbol
_atom_site_fract_x
_atom_site_fract_y
_atom_site_fract_z
Rb1 Rb 0.0000 0.0000 0.0000
Cd1 Cd 0.2378 0.8580 0.5062
Te1 Te 0.6273 0.5610 0.2745
P1 P 0.4763 0.3896 0.6715
Pd1 Pd 0.9452 0.3964 0.5985
```

=====

No. 5
A relaxed Hf2ScZn2 crystal. Source: the Alexandria database, functional PBE.

Results
total moment: 0.876 μB per formula unit
ΔE_f: 0.04 eV per atom
relative energy among the computed polymorphs: 245 meV/atom

Cell and atoms, written as CIF:
```
data_Hf2ScZn2
_chemical_formula_sum 'Hf4 Sc2 Zn4'
_space_group_name_H-M_alt 'P 1'
_space_group_IT_number 1
_space_group_name_Hall 'P 1'
_cell_length_a 8.1190
_cell_length_b 8.1190
_cell_length_c 3.0236
_cell_angle_alpha 90.00
_cell_angle_beta 90.00
_cell_angle_gamma 90.00
loop_
_atom_site_label
_atom_site_type_symbol
_atom_site_fract_x
_atom_site_fract_y
_atom_site_fract_z
Hf1 Hf 0.1302 0.3698 0.0000
Hf2 Hf 0.3698 0.8698 0.0000
Hf3 Hf 0.6302 0.1302 0.0000
Hf4 Hf 0.8698 0.6302 0.0000
Sc1 Sc 0.0000 0.0000 0.0000
Sc2 Sc 0.5000 0.5000 0.0000
Zn1 Zn 0.1697 0.6697 0.5000
Zn2 Zn 0.3303 0.1697 0.5000
Zn3 Zn 0.6697 0.8303 0.5000
Zn4 Zn 0.8303 0.3303 0.5000
```

=====

No. 6
A relaxed Er2ZrTl crystal. Source: the Alexandria database, functional PBE.

Results
total moment: 0.000 μB per formula unit
ΔE_f: -0.09 eV per atom
relative energy among the computed polymorphs: 52 meV/atom

Cell and atoms, written as CIF:
```
data_Er2ZrTl
_chemical_formula_sum 'Er2 Zr1 Tl1'
_space_group_name_H-M_alt 'P 1'
_space_group_IT_number 1
_space_group_name_Hall 'P 1'
_cell_length_a 10.7089
_cell_length_b 10.7089
_cell_length_c 10.7089
_cell_angle_alpha 18.66
_cell_angle_beta 18.66
_cell_angle_gamma 18.66
loop_
_atom_site_label
_atom_site_type_symbol
_atom_site_fract_x
_atom_site_fract_y
_atom_site_fract_z
Er1 Er 0.0000 0.0000 0.0000
Er2 Er 0.1651 0.1651 0.1651
Zr1 Zr 0.7495 0.7495 0.7495
Tl1 Tl 0.5827 0.5827 0.5827
```